DFT (PBE) results for a relaxed Mn2CrSe crystal.

Unit cell a=4.894 b=4.894 c=4.894 alpha=141.11 beta=131.42 gamma=63.90
Last column: magnetic moment on the atom in μB.
Element x y z (fractional)
Cr 0.256 0.756 0.500  -2.63
Mn 0.999 0.999 0.000  2.63
Mn 0.742 0.242 0.500  2.72
Se 0.503 0.503 0.000  0.00

crystal system = orthorhombic
VASP energy = -7.6543 eV/atom
Fermi-level density of states = 4.30 states/eV/cell
total magnetization = 2.72 μB per formula unit
uncorrected formation energy = 0.21 eV per atom